PBE V4Ga2Tc, optimized geometry; E_form = 5.8 eV/f.u.; ρ = 5.5 Mg/m³; space-group type = I4/mmm (139)
1.0
-2.236 2.236 6.635
2.236 -2.236 6.635
2.236 2.236 -6.635
V Ga Tc
4 2 1
Direct
0.000 0.500 0.500
0.180 0.180 0.000
0.500 0.000 0.500
0.820 0.820 0.000
0.375 0.375 0.000
0.625 0.625 0.000
0.000 0.000 0.000

=====

PBE V2Ga2Tc, optimized geometry; E_form = -0.5 eV/f.u.; ρ = 7.9 Mg/m³; space-group type = P4/mbm (127)
1.0
6.625 0.000 0.000
0.000 6.625 0.000
0.000 0.000 3.252
V Ga Tc
4 4 2
Direct
0.170 0.330 0.000
0.330 0.830 0.000
0.670 0.170 0.000
0.830 0.670 0.000
0.132 0.632 0.500
0.368 0.132 0.500
0.632 0.868 0.500
0.868 0.368 0.500
0.000 0.000 0.500
0.500 0.500 0.500

=====

PBE V4GaTc2, optimized geometry; E_form = 6.9 eV/f.u.; ρ = 6.5 Mg/m³; space-group type = I4/mmm (139)
1.0
-2.212 2.212 6.103
2.212 -2.212 6.103
2.212 2.212 -6.103
V Ga Tc
4 1 2
Direct
0.000 0.500 0.500
0.199 0.199 0.000
0.500 0.000 0.500
0.801 0.801 0.000
0.000 0.000 0.000
0.379 0.379 0.000
0.621 0.621 0.000

=====

PBE VGaTc2W, optimized geometry; E_form = 6.7 eV/f.u.; ρ = 9.2 Mg/m³; space-group type = P4/mmm (123)
1.0
4.448 0.000 0.000
0.000 4.448 0.000
0.000 0.000 4.583
V Ga Tc W
1 1 2 1
Direct
0.000 0.000 0.000
0.500 0.500 0.500
0.000 0.500 0.000
0.500 0.000 0.000
0.000 0.000 0.500

=====

PBE VZnGaTc, optimized geometry; E_form = -0.2 eV/f.u.; ρ = 8.4 Mg/m³; space-group type = F-43m (216)
1.0
0.000 3.044 3.044
3.044 0.000 3.044
3.044 3.044 0.000
V Zn Ga Tc
1 1 1 1
Direct
0.000 0.000 0.000
0.750 0.750 0.750
0.500 0.500 0.500
0.250 0.250 0.250

=====

PBE V2ZnGaTc, optimized geometry; E_form = 6.2 eV/f.u.; ρ = 6.1 Mg/m³; space-group type = P4/mmm (123)
1.0
4.479 0.000 0.000
0.000 4.479 0.000
0.000 0.000 4.532
V Zn Ga Tc
2 1 1 1
Direct
0.000 0.500 0.000
0.500 0.000 0.000
0.000 0.000 0.500
0.500 0.500 0.000
0.500 0.500 0.500

=====

PBE GaTc2W, optimized geometry; E_form = 2.9 eV/f.u.; ρ = 11.2 Mg/m³; space-group type = I-42d (122)
1.0
-3.485 3.485 2.737
3.485 -3.485 2.737
3.485 3.485 -2.737
Ga Tc W
2 4 2
Direct
0.000 0.000 0.000
0.750 0.250 0.500
0.139 0.125 0.514
0.375 0.861 0.986
0.611 0.625 0.486
0.875 0.389 0.014
0.250 0.750 0.500
0.500 0.500 0.000

=====

PBE GaTc2W, optimized geometry; E_form = 0.3 eV/f.u.; ρ = 12.3 Mg/m³; space-group type = Cm (8)
1.0
2.473 -1.408 0.000
2.473 1.408 0.000
-1.672 0.000 8.717
Ga Tc W
1 2 1
Direct
0.000 0.000 0.000
0.414 0.414 0.246
0.583 0.583 0.752
0.820 0.820 0.499

=====

PBE GaTcW, optimized geometry; E_form = 0.3 eV/f.u.; ρ = 12.8 Mg/m³; space-group type = P3m1 (156)
1.0
4.372 0.000 0.000
-2.186 3.786 0.000
0.000 0.000 2.762
Ga Tc W
1 1 1
Direct
0.000 0.000 0.000
0.333 0.667 0.760
0.667 0.333 0.439

=====

PBE GaTcW, optimized geometry; E_form = -0.2 eV/f.u.; ρ = 12.9 Mg/m³; space-group type = I4mm (107)
1.0
-1.571 1.571 4.575
1.571 -1.571 4.575
1.571 1.571 -4.575
Ga Tc W
1 1 1
Direct
0.000 0.000 0.000
0.667 0.667 0.000
0.323 0.323 0.000

=====

PBE GaTcW, optimized geometry; E_form = 1.0 eV/f.u.; ρ = 11.3 Mg/m³; space-group type = Fmmm (69)
1.0
0.000 3.463 5.364
2.769 0.000 5.364
2.769 3.463 0.000
Ga Tc W
2 2 2
Direct
0.171 0.829 0.171
0.829 0.171 0.829
0.377 0.377 0.623
0.623 0.623 0.377
0.250 0.250 0.250
0.750 0.750 0.750

=====

PBE Ga3TcW, optimized geometry; E_form = 6.0 eV/f.u.; ρ = 7.1 Mg/m³; space-group type = Pm-3m (221)
1.0
4.852 0.000 0.000
0.000 4.852 0.000
0.000 0.000 4.852
Ga Tc W
3 1 1
Direct
0.000 0.000 0.500
0.000 0.500 0.000
0.500 0.000 0.000
0.500 0.500 0.500
0.000 0.000 0.000

=====

PBE Ga2Tc2W, optimized geometry; E_form = 0.5 eV/f.u.; ρ = 11.6 Mg/m³; space-group type = P4/mbm (127)
1.0
6.913 0.000 0.000
0.000 6.913 0.000
0.000 0.000 3.106
Ga Tc W
4 4 2
Direct
0.134 0.366 0.000
0.366 0.866 0.000
0.634 0.134 0.000
0.866 0.634 0.000
0.164 0.664 0.500
0.336 0.164 0.500
0.664 0.836 0.500
0.836 0.336 0.500
0.000 0.000 0.000
0.500 0.500 0.000

=====

PBE Ga2Tc2W, optimized geometry; E_form = 0.0 eV/f.u.; ρ = 10.6 Mg/m³; space-group type = Cmmm (65)
1.0
1.536 -8.494 0.000
1.536 8.494 0.000
0.000 0.000 3.104
Ga Tc W
2 2 1
Direct
0.181 0.819 0.000
0.819 0.181 0.000
0.408 0.592 0.500
0.592 0.408 0.500
0.000 0.000 0.000

=====

PBE GaTcW, optimized geometry; E_form = 0.2 eV/f.u.; ρ = 12.8 Mg/m³; space-group type = C2/m (12)
1.0
3.832 -2.218 0.000
3.832 2.218 0.000
-0.027 0.000 5.353
Ga Tc W
2 2 2
Direct
0.167 0.167 0.422
0.833 0.833 0.578
0.500 0.500 0.258
0.500 0.500 0.742
0.166 0.166 0.917
0.834 0.834 0.083

=====

PBE GaTcW2, optimized geometry; E_form = 3.3 eV/f.u.; ρ = 12.7 Mg/m³; space-group type = I-42d (122)
1.0
-3.649 3.649 2.623
3.649 -3.649 2.623
3.649 3.649 -2.623
Ga Tc W
2 2 4
Direct
0.000 0.000 0.000
0.750 0.250 0.500
0.250 0.750 0.500
0.500 0.500 0.000
0.161 0.625 0.036
0.375 0.411 0.536
0.589 0.125 0.964
0.875 0.839 0.464

=====

PBE YGa2Tc2, optimized geometry; E_form = -1.0 eV/f.u.; ρ = 8.3 Mg/m³; space-group type = P4/mbm (127)
1.0
7.201 0.000 0.000
0.000 7.201 0.000
0.000 0.000 3.290
Y Ga Tc
2 4 4
Direct
0.000 0.000 0.000
0.500 0.500 0.000
0.127 0.373 0.000
0.373 0.873 0.000
0.627 0.127 0.000
0.873 0.627 0.000
0.165 0.665 0.500
0.335 0.165 0.500
0.665 0.835 0.500
0.835 0.335 0.500

=====

PBE YGa3Tc3, optimized geometry; E_form = 5.0 eV/f.u.; ρ = 6.3 Mg/m³; space-group type = Pm-3n (223)
1.0
6.766 0.000 0.000
0.000 6.766 0.000
0.000 0.000 6.766
Y Ga Tc
2 6 6
Direct
0.000 0.000 0.000
0.500 0.500 0.500
0.000 0.250 0.500
0.000 0.750 0.500
0.250 0.500 0.000
0.500 0.000 0.250
0.500 0.000 0.750
0.750 0.500 0.000
0.000 0.500 0.250
0.000 0.500 0.750
0.250 0.000 0.500
0.500 0.250 0.000
0.500 0.750 0.000
0.750 0.000 0.500

=====

PBE YGa2Tc2, optimized geometry; E_form = -0.9 eV/f.u.; ρ = 7.4 Mg/m³; space-group type = I4/mmm (139)
1.0
-2.250 2.250 4.704
2.250 -2.250 4.704
2.250 2.250 -4.704
Y Ga Tc
1 2 2
Direct
0.000 0.000 0.000
0.250 0.750 0.500
0.750 0.250 0.500
0.381 0.381 0.000
0.619 0.619 0.000

=====

PBE YGa6Tc, optimized geometry; E_form = -1.6 eV/f.u.; ρ = 6.2 Mg/m³; space-group type = R-3m (166)
1.0
4.662 2.692 2.137
-4.662 2.692 2.137
0.000 -5.384 2.137
Y Ga Tc
1 6 1
Direct
0.000 0.000 0.000
0.217 0.217 0.649
0.217 0.649 0.217
0.351 0.783 0.783
0.649 0.217 0.217
0.783 0.351 0.783
0.783 0.783 0.351
0.500 0.500 0.500

=====

PBE Y2Ga2Tc, optimized geometry; E_form = -1.7 eV/f.u.; ρ = 6.6 Mg/m³; space-group type = P4/mbm (127)
1.0
7.062 0.000 0.000
0.000 7.062 0.000
0.000 0.000 4.203
Y Ga Tc
4 4 2
Direct
0.180 0.320 0.000
0.320 0.820 0.000
0.680 0.180 0.000
0.820 0.680 0.000
0.129 0.629 0.500
0.371 0.129 0.500
0.629 0.871 0.500
0.871 0.371 0.500
0.000 0.000 0.500
0.500 0.500 0.500

=====

PBE YGa6Tc2, optimized geometry; E_form = -1.8 eV/f.u.; ρ = 7.6 Mg/m³; space-group type = Immm (71)
1.0
-1.769 3.382 6.416
1.769 -3.382 6.416
1.769 3.382 -6.416
Y Ga Tc
1 6 2
Direct
0.000 0.000 0.000
0.014 0.317 0.698
0.326 0.500 0.826
0.381 0.683 0.698
0.619 0.317 0.302
0.674 0.500 0.174
0.986 0.683 0.302
0.368 0.868 0.500
0.632 0.132 0.500

=====

PBE Y2Ga2Tc, optimized geometry; E_form = -2.3 eV/f.u.; ρ = 6.4 Mg/m³; space-group type = C2/m (12)
1.0
5.274 -2.170 0.000
5.274 2.170 0.000
-4.766 0.000 9.480
Y Ga Tc
4 4 2
Direct
0.006 0.006 0.332
0.192 0.192 0.115
0.808 0.808 0.885
0.994 0.994 0.668
0.352 0.352 0.433
0.491 0.491 0.120
0.509 0.509 0.880
0.648 0.648 0.567
0.284 0.284 0.640
0.716 0.716 0.360

=====

PBE Y2Ga3Tc, optimized geometry; E_form = -1.7 eV/f.u.; ρ = 6.4 Mg/m³; space-group type = Immm (71)
1.0
-2.312 2.704 5.069
2.312 -2.704 5.069
2.312 2.704 -5.069
Y Ga Tc
2 3 1
Direct
0.199 0.199 0.000
0.801 0.801 0.000
0.000 0.500 0.500
0.377 0.877 0.500
0.623 0.123 0.500
0.500 0.500 0.000

=====

PBE YGa2Tc2, optimized geometry; E_form = -0.5 eV/f.u.; ρ = 8.1 Mg/m³; space-group type = P4/mbm (127)
1.0
7.661 0.000 0.000
0.000 7.661 0.000
0.000 0.000 2.958
Y Ga Tc
2 4 4
Direct
0.000 0.000 0.000
0.500 0.500 0.000
0.177 0.323 0.500
0.323 0.823 0.500
0.677 0.177 0.500
0.823 0.677 0.500
0.114 0.614 0.000
0.386 0.114 0.000
0.614 0.886 0.000
0.886 0.386 0.000